Computed, not measured: an optimized crystal structure of PrPd7Pb4 at the PBE-GGA level of DFT.

Summary:
Formation energy from the elements = -0.27 eV per atom
V = 256.52 Å³ per cell
Raw total energy = -4.934 eV/atom
Space-group type = C2/m
Total magnetization = 0.0 Bohr magnetons per cell

a b c (Å): 6.1959 6.1959 10.3176
angles (deg): 119.31 119.31 50.36
Element x y z (fractional)
Pr 0.0000 0.0000 0.0000
Pd 0.0592 0.0592 0.3305
Pd 0.2229 0.2229 0.9191
Pd 0.3543 0.3543 0.4691
Pd 0.5000 0.5000 0.0000
Pd 0.6457 0.6457 0.5309
Pd 0.7771 0.7771 0.0809
Pd 0.9408 0.9408 0.6695
Pb 0.2401 0.2401 0.6605
Pb 0.4104 0.4104 0.2307
Pb 0.5896 0.5896 0.7693
Pb 0.7599 0.7599 0.3395